# 1
Compound: Ac2Pr6Sm
Source: Alexandria via LeMat-Bulk
Functional: PBE-GGA
Structure: relaxed

Calculated values
Space-group type   C2/c
E_form   75 meV per atom
Uncorrected energy   -4.549 eV per atom

a = 9.4249 Å, b = 9.4249 Å, c = 9.3963 Å
α = 112.85°, β = 112.85°, γ = 66.60°
Element x y z (fractional)
Ac  0.0077  0.1750  0.1757
Ac  0.1750  0.0077  0.6757
Ac  0.8250  0.9923  0.3243
Ac  0.9923  0.8250  0.8243
Pr  0.0871  0.5830  0.4175
Pr  0.1715  0.3483  0.0101
Pr  0.3420  0.4940  0.8338
Pr  0.3483  0.1715  0.5101
Pr  0.4170  0.9129  0.0825
Pr  0.4940  0.3420  0.3338
Pr  0.5060  0.6580  0.6662
Pr  0.5830  0.0871  0.9175
Pr  0.6517  0.8285  0.4899
Pr  0.6580  0.5060  0.1662
Pr  0.8285  0.6517  0.9899
Pr  0.9129  0.4170  0.5825
Sm  0.2528  0.7472  0.2500
Sm  0.7472  0.2528  0.7500

=====

# 2
Compound: Ac4Pr3Sm2
Source: Alexandria via LeMat-Bulk
Functional: PBE-GGA
Structure: relaxed

Calculated values
Space-group type   P3m1
E_form   90 meV per atom
Uncorrected energy   -4.378 eV per atom
ΔE to the lowest computed polymorph   54 meV/atom

a = 3.8255 Å, b = 3.8255 Å, c = 28.4078 Å
α = 90.00°, β = 90.00°, γ = 120.00°
Element x y z (fractional)
Ac  0.0000  0.0000  0.0000
Ac  0.0000  0.0000  0.2210
Ac  0.3333  0.6667  0.3388
Ac  0.3333  0.6667  0.5613
Pr  0.0000  0.0000  0.4489
Pr  0.3333  0.6667  0.1088
Pr  0.3333  0.6667  0.7736
Sm  0.0000  0.0000  0.6687
Sm  0.0000  0.0000  0.8738

=====

# 3
Compound: AcPr4Sm15
Source: Alexandria via LeMat-Bulk
Functional: PBE-GGA
Structure: relaxed

Calculated values
Space-group type   P4/mmm
E_form   20 meV per atom
Uncorrected energy   -4.681 eV per atom

a = 5.1870 Å, b = 5.1870 Å, c = 25.8501 Å
α = 90.00°, β = 90.00°, γ = 90.00°
Element x y z (fractional)
Ac  0.0000  0.0000  0.0000
Pr  0.0000  0.0000  0.2017
Pr  0.0000  0.0000  0.4007
Pr  0.0000  0.0000  0.5993
Pr  0.0000  0.0000  0.7983
Sm  0.0000  0.5000  0.1031
Sm  0.0000  0.5000  0.3015
Sm  0.0000  0.5000  0.5000
Sm  0.0000  0.5000  0.6985
Sm  0.0000  0.5000  0.8969
Sm  0.5000  0.0000  0.1031
Sm  0.5000  0.0000  0.3015
Sm  0.5000  0.0000  0.5000
Sm  0.5000  0.0000  0.6985
Sm  0.5000  0.0000  0.8969
Sm  0.5000  0.5000  0.0000
Sm  0.5000  0.5000  0.2024
Sm  0.5000  0.5000  0.4007
Sm  0.5000  0.5000  0.5993
Sm  0.5000  0.5000  0.7976

=====

Table of DOS(E_F) (states/eV/cell), in record order: 26.334; 17.360; 29.289
Table of mass density (Mg/m³), in record order: 7.10; 7.52; 7.27